## LaTb6In2 (PBE)

Data for a relaxed LaTb6In2 crystal.

Symmetry: I-42m (121)
Formation energy from the elements in meV/atom: 482
Size of the total moment in μB/f.u.: 0.00

Cell and atoms, written as POSCAR:
```
LaTb6In2
1.0
-2.866 2.866 10.333
2.866 -2.866 10.333
2.866 2.866 -10.333
La Tb In
1 6 2
Direct
0.000 0.000 0.000
0.239 0.626 0.000
0.250 0.750 0.500
0.374 0.374 0.613
0.626 0.239 0.000
0.750 0.250 0.500
0.761 0.761 0.387
0.307 0.307 0.000
0.693 0.693 0.000
```